No. 1
Computed, not measured: crystalline LaMgB at its relaxed geometry at the GGA-PBE level of DFT.

Results
Calculated total energy ... -27.73 eV for the cell shown
N(E_F) ... 0.572 states/eV/atom
E_form ... -0.223 eV/atom
Symmetry ... Cmcm, No. 63

Cell lengths 3.2129, 10.7634, 3.8440 Å; angles 100.29, 90.00, 90.00 degrees
With the nearest neighbours (Å) after each atom.
Element x y z (fractional)
1 Mg 0.5968 0.7238 0.0511  6 Mg 3.08-3.21
2 Mg 0.0968 0.8934 0.6356  6 Mg 3.08-3.21
3 La 0.5961 0.1407 0.2593  6 B 2.79-2.94
4 La 0.0961 0.4765 0.4274  6 B 2.79-2.94
5 B 0.0960 0.2856 0.8319  2 B 1.68
6 B 0.5960 0.3316 0.8548  2 B 1.68

=====

No. 2
Computed, not measured: crystalline LaMgB at its relaxed geometry at the GGA-PBE level of DFT.

Results
Calculated total energy ... -12.90 eV for the cell shown
N(E_F) ... 0.174 states/eV/atom
E_form ... 0.100 eV/atom
Symmetry ... F-43m, No. 216

Cell lengths 4.5366, 4.5366, 4.5366 Å; angles 60.00, 60.00, 60.00 degrees
With the nearest neighbours (Å) after each atom.
Element x y z (fractional)
1 La 0.2500 0.2500 0.2500  4 B 2.78
2 Mg 0.7500 0.7500 0.7500  4 B 2.78
3 B 0.0000 0.0000 0.0000  4 Mg 2.78, 4 La 2.78

=====

No. 3
Computed, not measured: crystalline La2MgNiB at its relaxed geometry at the GGA-PBE level of DFT.

Results
Calculated total energy ... -24.36 eV for the cell shown
N(E_F) ... 0.649 states/eV/atom
E_form ... -0.090 eV/atom
Symmetry ... P4/mmm, No. 123

Cell lengths 5.5236, 5.5236, 3.8646 Å; angles 90.00, 90.00, 90.00 degrees
With the nearest neighbours (Å) after each atom.
Element x y z (fractional)
1 B 0.0000 0.0000 0.0000  2 Ni 1.93
2 La 0.5000 0.0000 0.0000  2 B 2.76
3 La 0.0000 0.5000 0.0000  2 B 2.76
4 Ni 0.0000 0.0000 0.5000  2 B 1.93
5 Mg 0.5000 0.5000 0.5000  8 La 3.37

=====

No. 4
Computed, not measured: crystalline LaMgB5O10 at its relaxed geometry at the GGA-PBE level of DFT.

Results
Calculated total energy ... -541.83 eV for the cell shown
N(E_F) ... 0.000 states/eV/atom
Symmetry ... P2_1/c, No. 14
E_form (uncorrected) ... -2704 meV per atom

Cell lengths 7.6802, 8.8889, 9.5510 Å; angles 92.19, 90.00, 90.00 degrees
With the nearest neighbours (Å) after each atom.
Element x y z (fractional)
1 La 0.6882 0.6848 0.7355  9 O 2.39-2.67
2 La 0.3118 0.3152 0.2645  9 O 2.39-2.67
3 La 0.8118 0.1848 0.2355  9 O 2.39-2.67
4 La 0.1882 0.8152 0.7645  9 O 2.39-2.67
5 B 0.4054 0.8494 0.0078  3 O 1.36-1.39
6 B 0.5832 0.0886 0.7322  4 O 1.47-1.50
7 B 0.1716 0.0124 0.1102  4 O 1.47-1.49
8 B 0.8284 0.9876 0.8898  4 O 1.47-1.49
9 B 0.0946 0.3494 0.5078  3 O 1.36-1.39
10 B 0.5946 0.1506 0.9922  3 O 1.36-1.39
11 B 0.3284 0.5124 0.6102  4 O 1.47-1.49
12 B 0.0329 0.2171 0.9475  4 O 1.46-1.52
13 B 0.6716 0.4876 0.3898  4 O 1.47-1.49
14 B 0.5329 0.2829 0.5525  4 O 1.46-1.52
15 B 0.9054 0.6506 0.4922  3 O 1.36-1.39
16 B 0.8149 0.4279 0.9152  3 O 1.38-1.39
17 B 0.1851 0.5721 0.0848  3 O 1.38-1.39
18 B 0.0832 0.4114 0.7678  4 O 1.47-1.50
19 B 0.6851 0.9279 0.4152  3 O 1.38-1.39
20 B 0.9671 0.7829 0.0525  4 O 1.46-1.52
21 B 0.4168 0.9114 0.2678  4 O 1.47-1.50
22 B 0.3149 0.0721 0.5848  3 O 1.38-1.39
23 B 0.4671 0.7171 0.4475  4 O 1.46-1.52
24 B 0.9168 0.5886 0.2322  4 O 1.47-1.50
25 O 0.8469 0.9936 0.4313  1 B 1.38
26 O 0.2788 0.0244 0.2406  2 B 1.49
27 O 0.1545 0.3128 0.8741  2 B 1.46-1.47
28 O 0.4628 0.7704 0.8924  1 B 1.36
29 O 0.0363 0.3173 0.6396  2 B 1.38-1.50
30 O 0.9755 0.0884 0.8542  2 B 1.49
31 O 0.9637 0.6827 0.3604  2 B 1.38-1.50
32 O 0.5793 0.9877 0.3137  2 B 1.39-1.48
33 O 0.0793 0.5123 0.1863  2 B 1.39-1.48
34 O 0.8455 0.6872 0.1259  2 B 1.46-1.47
35 O 0.9207 0.4877 0.8137  2 B 1.39-1.48
36 O 0.6263 0.8091 0.4905  2 B 1.38-1.52
37 O 0.8956 0.8333 0.9148  2 B 1.49-1.51
38 O 0.0245 0.9116 0.1458  2 B 1.49
39 O 0.6531 0.4936 0.9313  1 B 1.38
40 O 0.5363 0.1827 0.8604  2 B 1.38-1.50
41 O 0.7212 0.9756 0.7594  2 B 1.49
42 O 0.2784 0.9592 0.9906  2 B 1.39-1.47
43 O 0.4637 0.8173 0.1396  2 B 1.38-1.50
44 O 0.1531 0.0064 0.5687  1 B 1.38
45 O 0.5372 0.2296 0.1076  1 B 1.36
46 O 0.7216 0.0408 0.0094  2 B 1.39-1.47
47 O 0.2216 0.4592 0.4906  2 B 1.39-1.47
48 O 0.6044 0.3333 0.4148  2 B 1.49-1.51
49 O 0.2212 0.5244 0.7406  2 B 1.49
50 O 0.3469 0.5064 0.0687  1 B 1.38
51 O 0.7784 0.5408 0.5094  2 B 1.39-1.47
52 O 0.7788 0.4756 0.2594  2 B 1.49
53 O 0.3737 0.1909 0.5095  2 B 1.38-1.52
54 O 0.8737 0.3091 0.9905  2 B 1.38-1.52
55 O 0.4207 0.0123 0.6863  2 B 1.39-1.48
56 O 0.3956 0.6667 0.5852  2 B 1.49-1.51
57 O 0.3455 0.8128 0.3741  2 B 1.46-1.47
58 O 0.6545 0.1872 0.6259  2 B 1.46-1.47
59 O 0.0372 0.2704 0.3924  1 B 1.36
60 O 0.4755 0.4116 0.6458  2 B 1.49
61 O 0.1263 0.6909 0.0095  2 B 1.38-1.52
62 O 0.5245 0.5884 0.3542  2 B 1.49
63 O 0.9628 0.7296 0.6076  1 B 1.36
64 O 0.1044 0.1667 0.0852  2 B 1.49-1.51
65 Mg 0.0879 0.8911 0.3784  6 O 2.08-2.32
66 Mg 0.9121 0.1089 0.6216  6 O 2.08-2.32
67 Mg 0.5879 0.6089 0.1216  6 O 2.08-2.32
68 Mg 0.4121 0.3911 0.8784  6 O 2.08-2.32

=====

No. 5
Computed, not measured: crystalline LaMg2BO at its relaxed geometry at the GGA-PBE level of DFT.

Results
Calculated total energy ... -21.59 eV for the cell shown
N(E_F) ... 0.072 states/eV/atom
Symmetry ... P4/mmm, No. 123
E_form (uncorrected) ... -367 meV per atom

Cell lengths 4.1827, 5.8226, 4.1827 Å; angles 90.00, 90.00, 90.00 degrees
With the nearest neighbours (Å) after each atom.
Element x y z (fractional)
1 Mg 0.0000 0.0000 0.5000  2 B 2.09
2 Mg 0.5000 0.0000 0.0000  2 B 2.09
3 La 0.0000 0.5000 0.0000  2 B 2.91, 4 O 2.96
4 O 0.5000 0.5000 0.5000  4 La 2.96
5 B 0.0000 0.0000 0.0000  4 Mg 2.09

=====

No. 6
Computed, not measured: crystalline La2MgBOs at its relaxed geometry at the GGA-PBE level of DFT.

Results
Calculated total energy ... -29.75 eV for the cell shown
N(E_F) ... 0.910 states/eV/atom
E_form ... -0.078 eV/atom
Symmetry ... P4/mmm, No. 123

Cell lengths 5.4566, 5.4566, 4.0678 Å; angles 90.00, 90.00, 90.00 degrees
With the nearest neighbours (Å) after each atom.
Element x y z (fractional)
1 Os 0.0000 0.0000 0.5000  2 B 2.03
2 La 0.0000 0.5000 0.0000  2 B 2.73
3 La 0.5000 0.0000 0.0000  2 B 2.73
4 Mg 0.5000 0.5000 0.5000  8 La 3.40
5 B 0.0000 0.0000 0.0000  2 Os 2.03

=====

No. 7
Computed, not measured: crystalline La3MgB2Pt9 at its relaxed geometry at the GGA-PBE level of DFT.

Results
Calculated total energy ... -96.68 eV for the cell shown
N(E_F) ... 0.168 states/eV/atom
E_form ... -0.838 eV/atom
Symmetry ... P-3m1, No. 164

Cell lengths 5.8567, 5.8567, 9.5144 Å; angles 90.00, 90.00, 120.00 degrees
With the nearest neighbours (Å) after each atom.
Element x y z (fractional)
1 Pt 0.5000 0.5000 0.0000  2 B 2.20
2 Pt 0.8347 0.6694 0.7181  1 B 2.13
3 Pt 0.0000 0.5000 0.0000  2 B 2.20
4 Pt 0.1653 0.3306 0.2819  1 B 2.13
5 Pt 0.5000 0.0000 0.0000  2 B 2.20
6 Pt 0.8347 0.1653 0.7181  1 B 2.13
7 Pt 0.1653 0.8347 0.2819  1 B 2.13
8 Pt 0.3306 0.1653 0.7181  1 B 2.13
9 Pt 0.6694 0.8347 0.2819  1 B 2.13
10 La 0.3333 0.6667 0.6324  6 Pt 3.04
11 La 0.0000 0.0000 0.0000  12 Pt 2.93-3.16
12 La 0.6667 0.3333 0.3676  6 Pt 3.04
13 Mg 0.0000 0.0000 0.5000  6 Pt 2.67
14 B 0.3333 0.6667 0.1479  6 Pt 2.13-2.20
15 B 0.6667 0.3333 0.8521  6 Pt 2.13-2.20

=====

No. 8
Computed, not measured: crystalline La2MgB2Rh5 at its relaxed geometry at the GGA-PBE level of DFT.

Results
Calculated total energy ... -135.86 eV for the cell shown
N(E_F) ... 0.347 states/eV/atom
E_form ... -0.637 eV/atom
Symmetry ... P4/mbm, No. 127

Cell lengths 3.2487, 9.8990, 9.8990 Å; angles 90.00, 90.00, 90.00 degrees
With the nearest neighbours (Å) after each atom.
Element x y z (fractional)
1 B 0.0000 0.1211 0.6211  6 Rh 2.25-2.35
2 B 0.0000 0.3789 0.1211  6 Rh 2.25-2.35
3 B 0.0000 0.8789 0.3789  6 Rh 2.25-2.35
4 B 0.0000 0.6211 0.8789  6 Rh 2.25-2.35
5 Rh 0.5000 0.5702 0.7298  2 B 2.25
6 Rh 0.5000 0.9298 0.2298  2 B 2.25
7 Rh 0.5000 0.0000 0.5000  4 B 2.35
8 Rh 0.5000 0.4298 0.2702  2 B 2.25
9 Rh 0.5000 0.5000 0.0000  4 B 2.35
10 Rh 0.5000 0.2702 0.5702  2 B 2.25
11 Rh 0.5000 0.2298 0.0702  2 B 2.25
12 Rh 0.5000 0.7298 0.4298  2 B 2.25
13 Rh 0.5000 0.0702 0.7702  2 B 2.25
14 Rh 0.5000 0.7702 0.9298  2 B 2.25
15 Mg 0.0000 0.0000 0.0000  8 Rh 2.88
16 Mg 0.0000 0.5000 0.5000  8 Rh 2.88
17 La 0.0000 0.3232 0.8232  3 B 2.83-3.00, 10 Rh 2.96-3.08
18 La 0.0000 0.1768 0.3232  3 B 2.83-3.00, 10 Rh 2.96-3.08
19 La 0.0000 0.8232 0.6768  3 B 2.83-3.00, 10 Rh 2.96-3.08
20 La 0.0000 0.6768 0.1768  3 B 2.83-3.00, 10 Rh 2.96-3.08

=====

Question: Which of these has the lowest calculated total energy?
Answer: LaMgB5O10

=====

Copy entry 5 word for word.
Computed, not measured: crystalline LaMg2BO at its relaxed geometry at the GGA-PBE level of DFT.

Results
Calculated total energy ... -21.59 eV for the cell shown
N(E_F) ... 0.072 states/eV/atom
Symmetry ... P4/mmm, No. 123
E_form (uncorrected) ... -367 meV per atom

Cell lengths 4.1827, 5.8226, 4.1827 Å; angles 90.00, 90.00, 90.00 degrees
With the nearest neighbours (Å) after each atom.
Element x y z (fractional)
1 Mg 0.0000 0.0000 0.5000  2 B 2.09
2 Mg 0.5000 0.0000 0.0000  2 B 2.09
3 La 0.0000 0.5000 0.0000  2 B 2.91, 4 O 2.96
4 O 0.5000 0.5000 0.5000  4 La 2.96
5 B 0.0000 0.0000 0.0000  4 Mg 2.09

=====

Question: Among the records above, which one has the highest calculated total energy?
Answer: number 2

=====

Question: The highest N(E_F) belongs to which entry?
Answer: La2MgBOs